The following is a DFT calculation (PBE+U) of an optimized crystal structure of TlV2TcF.

a b c (Å): 4.131 5.085 4.131
angles (deg): 90.00 90.00 90.00
Last column: magnetic moment on the atom in μB.
Sites, in units of the cell vectors:
F  0.000  0.000  0.000  0.04
V  0.500  0.000  0.000  2.75
V  0.000  0.000  0.500  2.75
Tl  0.000  0.500  0.000  0.01
Tc  0.500  0.500  0.500  -0.18

As for the space group: P4/mmm. As for the total energy: -5.4785 eV/atom. As for the density of states at the Fermi level: 4.3 states/eV/f.u.